Material: Pr4V6O19
Method: DFT, PBE with a Hubbard U
State: optimized geometry

Output
N(E_F) = 7.9 states/eV/f.u.
DFT total energy = -0.29012 hartree per atom

Lattice parameters (Å, degrees): 7.677 7.677 7.677 109.47 109.47 109.47
Each line ends with the local moment (μB).
Positions (direct):
O (0.749, 0.031, 0.360)  -0.05
V (0.663, 0.500, 0.163)  0.80
V (0.500, 0.837, 0.337)  0.80
O (0.644, 0.000, 0.644)  -0.04
V (0.337, 0.500, 0.837)  0.80
Pr (0.000, 0.676, 0.000)  0.00
O (0.969, 0.718, 0.329)  -0.05
O (0.718, 0.329, 0.969)  -0.05
V (0.500, 0.163, 0.663)  0.80
V (0.163, 0.663, 0.500)  0.80
O (0.000, 0.356, 0.356)  -0.04
Pr (0.676, 0.000, 0.000)  0.00
O (0.356, 0.356, 0.000)  -0.04
Pr (0.324, 0.324, 0.324)  0.00
O (0.000, 0.644, 0.644)  -0.04
O (0.329, 0.969, 0.718)  -0.05
Pr (0.000, 0.000, 0.676)  0.00
O (0.282, 0.251, 0.611)  -0.05
V (0.837, 0.337, 0.500)  0.80
O (0.671, 0.389, 0.640)  -0.05
O (0.000, 0.000, 0.000)  -0.01
O (0.611, 0.282, 0.251)  -0.05
O (0.031, 0.360, 0.749)  -0.05
O (0.251, 0.611, 0.282)  -0.05
O (0.640, 0.671, 0.389)  -0.05
O (0.644, 0.644, 0.000)  -0.04
O (0.389, 0.640, 0.671)  -0.05
O (0.360, 0.749, 0.031)  -0.05
O (0.356, 0.000, 0.356)  -0.04